Entry 1:
DFT (PBE) results for an optimized crystal structure of AcSm4Th.

Properties
Space group = P-1
Energy relative to the elements = 0.051 eV/atom

Structure (CIF):
```
data_AcSm4Th
_cell_length_a 3.675
_cell_length_b 6.329
_cell_length_c 9.796
_cell_angle_alpha 77.98
_cell_angle_beta 79.23
_cell_angle_gamma 73.41
_symmetry_space_group_name_H-M 'P 1'
_symmetry_Int_Tables_number 1
_symmetry_space_group_name_Hall 'P 1'
loop_
_atom_site_label
_atom_site_type_symbol
_atom_site_fract_x
_atom_site_fract_y
_atom_site_fract_z
_atom_site_occupancy
Ac1 Ac 0.000 0.000 0.000 1
Sm1 Sm 0.334 0.988 0.345 1
Sm2 Sm 0.337 0.511 0.817 1
Sm3 Sm 0.663 0.489 0.183 1
Sm4 Sm 0.666 0.012 0.655 1
Th1 Th 0.000 0.500 0.500 1
```

***

Entry 2:
DFT (PBE) results for an optimized crystal structure of AcSm2Th.

Properties
Excess energy over the best structure of this formula in the dataset = 0.000 eV per atom
Space group = P4/mmm
Energy relative to the elements = 0.043 eV/atom

Structure (CIF):
```
data_AcSm2Th
_cell_length_a 3.695
_cell_length_b 3.695
_cell_length_c 10.552
_cell_angle_alpha 90.00
_cell_angle_beta 90.00
_cell_angle_gamma 90.00
_symmetry_space_group_name_H-M 'P 1'
_symmetry_Int_Tables_number 1
_symmetry_space_group_name_Hall 'P 1'
loop_
_atom_site_label
_atom_site_type_symbol
_atom_site_fract_x
_atom_site_fract_y
_atom_site_fract_z
_atom_site_occupancy
Ac1 Ac 0.000 0.000 0.000 1
Sm1 Sm 0.500 0.500 0.272 1
Sm2 Sm 0.500 0.500 0.728 1
Th1 Th 0.000 0.000 0.500 1
```

***

Entry 3:
DFT (PBE) results for an optimized crystal structure of Ac2Sm6Th.

Properties
Space group = P-6m2
Energy relative to the elements = 0.105 eV/atom

Structure (CIF):
```
data_Ac2Sm6Th
_cell_length_a 3.704
_cell_length_b 3.704
_cell_length_c 27.485
_cell_angle_alpha 90.00
_cell_angle_beta 90.00
_cell_angle_gamma 120.00
_symmetry_space_group_name_H-M 'P 1'
_symmetry_Int_Tables_number 1
_symmetry_space_group_name_Hall 'P 1'
loop_
_atom_site_label
_atom_site_type_symbol
_atom_site_fract_x
_atom_site_fract_y
_atom_site_fract_z
_atom_site_occupancy
Ac1 Ac 0.000 0.000 0.172 1
Ac2 Ac 0.000 0.000 0.828 1
Sm1 Sm 0.000 0.000 0.394 1
Sm2 Sm 0.000 0.000 0.606 1
Sm3 Sm 0.667 0.333 0.061 1
Sm4 Sm 0.667 0.333 0.288 1
Sm5 Sm 0.667 0.333 0.712 1
Sm6 Sm 0.667 0.333 0.939 1
Th1 Th 0.667 0.333 0.500 1
```

***

Entry 4:
DFT (PBE) results for an optimized crystal structure of AcSmTh.

Properties
Excess energy over the best structure of this formula in the dataset = 0.119 eV per atom
Space group = P4/nmm
Energy relative to the elements = 0.198 eV/atom

Structure (CIF):
```
data_AcSmTh
_cell_length_a 5.111
_cell_length_b 5.111
_cell_length_c 8.913
_cell_angle_alpha 90.00
_cell_angle_beta 90.00
_cell_angle_gamma 90.00
_symmetry_space_group_name_H-M 'P 1'
_symmetry_Int_Tables_number 1
_symmetry_space_group_name_Hall 'P 1'
loop_
_atom_site_label
_atom_site_type_symbol
_atom_site_fract_x
_atom_site_fract_y
_atom_site_fract_z
_atom_site_occupancy
Ac1 Ac 0.250 0.250 0.189 1
Ac2 Ac 0.750 0.750 0.811 1
Sm1 Sm 0.250 0.250 0.761 1
Sm2 Sm 0.750 0.750 0.239 1
Th1 Th 0.250 0.750 0.500 1
Th2 Th 0.750 0.250 0.500 1
```

***

Entry 5:
DFT (PBE) results for an optimized crystal structure of Ac3Sm12Th.

Properties
Space group = P4/mmm
Energy relative to the elements = 0.037 eV/atom

Structure (CIF):
```
data_Ac3Sm12Th
_cell_length_a 5.218
_cell_length_b 5.218
_cell_length_c 20.881
_cell_angle_alpha 90.00
_cell_angle_beta 90.00
_cell_angle_gamma 90.00
_symmetry_space_group_name_H-M 'P 1'
_symmetry_Int_Tables_number 1
_symmetry_space_group_name_Hall 'P 1'
loop_
_atom_site_label
_atom_site_type_symbol
_atom_site_fract_x
_atom_site_fract_y
_atom_site_fract_z
_atom_site_occupancy
Ac1 Ac 0.000 0.000 0.000 1
Ac2 Ac 0.000 0.000 0.253 1
Ac3 Ac 0.000 0.000 0.747 1
Sm1 Sm 0.000 0.500 0.127 1
Sm2 Sm 0.000 0.500 0.382 1
Sm3 Sm 0.000 0.500 0.618 1
Sm4 Sm 0.000 0.500 0.873 1
Sm5 Sm 0.500 0.000 0.127 1
Sm6 Sm 0.500 0.000 0.382 1
Sm7 Sm 0.500 0.000 0.618 1
Sm8 Sm 0.500 0.000 0.873 1
Sm9 Sm 0.500 0.500 0.000 1
Sm10 Sm 0.500 0.500 0.253 1
Sm11 Sm 0.500 0.500 0.500 1
Sm12 Sm 0.500 0.500 0.747 1
Th1 Th 0.000 0.000 0.500 1
```

***

Entry 6:
DFT (PBE) results for an optimized crystal structure of Ac2SmTh.

Properties
Excess energy over the best structure of this formula in the dataset = 0.012 eV per atom
Space group = P4/mmm
Energy relative to the elements = 0.122 eV/atom

Structure (CIF):
```
data_Ac2SmTh
_cell_length_a 5.352
_cell_length_b 5.352
_cell_length_c 5.352
_cell_angle_alpha 90.00
_cell_angle_beta 90.00
_cell_angle_gamma 90.00
_symmetry_space_group_name_H-M 'P 1'
_symmetry_Int_Tables_number 1
_symmetry_space_group_name_Hall 'P 1'
loop_
_atom_site_label
_atom_site_type_symbol
_atom_site_fract_x
_atom_site_fract_y
_atom_site_fract_z
_atom_site_occupancy
Ac1 Ac 0.000 0.500 0.000 1
Ac2 Ac 0.500 0.000 0.000 1
Sm1 Sm 0.000 0.000 0.500 1
Th1 Th 0.500 0.500 0.500 1
```

***

Entry 7:
DFT (PBE) results for an optimized crystal structure of AcSm2Th.

Properties
Excess energy over the best structure of this formula in the dataset = 0.102 eV per atom
Space group = R-3m
Energy relative to the elements = 0.145 eV/atom

Structure (CIF):
```
data_AcSm2Th
_cell_length_a 12.976
_cell_length_b 12.976
_cell_length_c 12.976
_cell_angle_alpha 16.10
_cell_angle_beta 16.10
_cell_angle_gamma 16.10
_symmetry_space_group_name_H-M 'P 1'
_symmetry_Int_Tables_number 1
_symmetry_space_group_name_Hall 'P 1'
loop_
_atom_site_label
_atom_site_type_symbol
_atom_site_fract_x
_atom_site_fract_y
_atom_site_fract_z
_atom_site_occupancy
Ac1 Ac 0.000 0.000 0.000 1
Sm1 Sm 0.094 0.094 0.094 1
Sm2 Sm 0.906 0.906 0.906 1
Th1 Th 0.500 0.500 0.500 1
```

***

Entry 8:
DFT (PBE) results for an optimized crystal structure of AcSm3Th.

Properties
Space group = C2/m
Energy relative to the elements = 0.052 eV/atom

Structure (CIF):
```
data_AcSm3Th
_cell_length_a 8.196
_cell_length_b 8.196
_cell_length_c 12.219
_cell_angle_alpha 100.90
_cell_angle_beta 100.90
_cell_angle_gamma 26.15
_symmetry_space_group_name_H-M 'P 1'
_symmetry_Int_Tables_number 1
_symmetry_space_group_name_Hall 'P 1'
loop_
_atom_site_label
_atom_site_type_symbol
_atom_site_fract_x
_atom_site_fract_y
_atom_site_fract_z
_atom_site_occupancy
Ac1 Ac 0.146 0.146 0.452 1
Ac2 Ac 0.854 0.854 0.548 1
Sm1 Sm 0.046 0.046 0.142 1
Sm2 Sm 0.250 0.250 0.762 1
Sm3 Sm 0.445 0.445 0.335 1
Sm4 Sm 0.555 0.555 0.665 1
Sm5 Sm 0.750 0.750 0.238 1
Sm6 Sm 0.954 0.954 0.858 1
Th1 Th 0.347 0.347 0.047 1
Th2 Th 0.653 0.653 0.953 1
```

***

Entry 9:
DFT (PBE) results for an optimized crystal structure of AcSm5Th.

Properties
Space group = P4/mmm
Energy relative to the elements = 0.325 eV/atom

Structure (CIF):
```
data_AcSm5Th
_cell_length_a 5.733
_cell_length_b 5.733
_cell_length_c 8.059
_cell_angle_alpha 90.00
_cell_angle_beta 90.00
_cell_angle_gamma 90.00
_symmetry_space_group_name_H-M 'P 1'
_symmetry_Int_Tables_number 1
_symmetry_space_group_name_Hall 'P 1'
loop_
_atom_site_label
_atom_site_type_symbol
_atom_site_fract_x
_atom_site_fract_y
_atom_site_fract_z
_atom_site_occupancy
Ac1 Ac 0.000 0.000 0.000 1
Sm1 Sm 0.000 0.500 0.286 1
Sm2 Sm 0.000 0.500 0.714 1
Sm3 Sm 0.500 0.000 0.286 1
Sm4 Sm 0.500 0.000 0.714 1
Sm5 Sm 0.500 0.500 0.000 1
Th1 Th 0.000 0.000 0.500 1
```

***

Entry 10:
DFT (PBE) results for an optimized crystal structure of AcSmTh.

Properties
Excess energy over the best structure of this formula in the dataset = 0.000 eV per atom
Space group = I4mm
Energy relative to the elements = 0.079 eV/atom

Structure (CIF):
```
data_AcSmTh
_cell_length_a 8.348
_cell_length_b 8.348
_cell_length_c 8.348
_cell_angle_alpha 154.19
_cell_angle_beta 154.19
_cell_angle_gamma 36.82
_symmetry_space_group_name_H-M 'P 1'
_symmetry_Int_Tables_number 1
_symmetry_space_group_name_Hall 'P 1'
loop_
_atom_site_label
_atom_site_type_symbol
_atom_site_fract_x
_atom_site_fract_y
_atom_site_fract_z
_atom_site_occupancy
Ac1 Ac 0.000 0.000 0.000 1
Sm1 Sm 0.686 0.686 0.000 1
Th1 Th 0.336 0.336 0.000 1
```

***

Entry 11:
DFT (PBE) results for an optimized crystal structure of AcSm2Th.

Properties
Excess energy over the best structure of this formula in the dataset = 0.048 eV per atom
Space group = P4/mmm
Energy relative to the elements = 0.091 eV/atom

Structure (CIF):
```
data_AcSm2Th
_cell_length_a 5.269
_cell_length_b 5.269
_cell_length_c 5.146
_cell_angle_alpha 90.00
_cell_angle_beta 90.00
_cell_angle_gamma 90.00
_symmetry_space_group_name_H-M 'P 1'
_symmetry_Int_Tables_number 1
_symmetry_space_group_name_Hall 'P 1'
loop_
_atom_site_label
_atom_site_type_symbol
_atom_site_fract_x
_atom_site_fract_y
_atom_site_fract_z
_atom_site_occupancy
Ac1 Ac 0.000 0.000 0.000 1
Sm1 Sm 0.000 0.500 0.500 1
Sm2 Sm 0.500 0.000 0.500 1
Th1 Th 0.500 0.500 0.000 1
```

***

Entry 12:
DFT (PBE) results for an optimized crystal structure of AcSm2Th.

Properties
Excess energy over the best structure of this formula in the dataset = 0.014 eV per atom
Space group = P6_3/mmc
Energy relative to the elements = 0.057 eV/atom

Structure (CIF):
```
data_AcSm2Th
_cell_length_a 3.710
_cell_length_b 3.710
_cell_length_c 24.046
_cell_angle_alpha 90.00
_cell_angle_beta 90.00
_cell_angle_gamma 120.00
_symmetry_space_group_name_H-M 'P 1'
_symmetry_Int_Tables_number 1
_symmetry_space_group_name_Hall 'P 1'
loop_
_atom_site_label
_atom_site_type_symbol
_atom_site_fract_x
_atom_site_fract_y
_atom_site_fract_z
_atom_site_occupancy
Ac1 Ac 0.333 0.667 0.250 1
Ac2 Ac 0.667 0.333 0.750 1
Sm1 Sm 0.333 0.667 0.618 1
Sm2 Sm 0.333 0.667 0.882 1
Sm3 Sm 0.667 0.333 0.118 1
Sm4 Sm 0.667 0.333 0.382 1
Th1 Th 0.000 0.000 0.000 1
Th2 Th 0.000 0.000 0.500 1
```

***

Fermi-level density of states: 1.4598 1.2239 1.7682 1.5274 1.4955 1.3932 1.4551 1.5470 1.3673 1.4862 1.1731 1.2262 (states/eV/atom)